P | GGA-PBE NdSm4Er6, relaxed; crystal system = tetragonal; magnetization = 0.00 μB per atom; volume = 35.2 Å³ per atom; space group = I-42m (121)
1.0
7.7509 0.0000 0.0000
0.0000 7.7509 0.0000
-3.8755 -3.8755 6.4361
Sm Er Nd
4 6 1
Direct
0.2460 0.2460 0.1490 Sm
0.7540 0.0970 0.8510 Sm
0.9030 0.9030 0.1490 Sm
0.0970 0.7540 0.8510 Sm
0.4313 0.9385 0.3698 Er
0.0000 0.5000 0.0000 Er
0.5000 0.0000 0.0000 Er
0.9385 0.4313 0.3698 Er
0.0615 0.0615 0.6302 Er
0.5687 0.5687 0.6302 Er
0.5000 0.5000 0.0000 Nd

***

Q | GGA-PBE NdSm4Er6, relaxed; crystal system = tetragonal; magnetization = 0.00 μB per atom; volume = 33.8 Å³ per atom; space group = I-42m (121)
1.0
7.4462 -2.9004 -5.4572
-5.1436 7.9794 1.8738
-1.8696 2.9004 9.0405
Sm Er Nd
4 6 1
Direct
0.6218 0.9858 0.9858 Sm
0.0000 0.6359 0.0142 Sm
0.0000 0.0142 0.6359 Sm
0.3782 0.3641 0.3641 Sm
0.6437 0.1954 0.1954 Er
0.3563 0.5517 0.5517 Er
0.0000 0.8046 0.4483 Er
0.0000 0.4483 0.8046 Er
0.5000 0.0000 0.5000 Er
0.5000 0.5000 0.0000 Er
0.0000 0.0000 0.0000 Nd

***

Short version: P is the least stable of them.

***

P | GGA-PBE Nd2Sm2Er, relaxed; crystal system = monoclinic; magnetization = 0.00 μB per atom; volume = 34.2 Å³ per atom; space group = C2/m (12)
1.0
-6.1833 -0.3899 0.1894
-4.9983 -3.6617 -0.1919
3.3770 0.2750 8.1671
Sm Er Nd
2 1 2
Direct
0.1074 0.1067 0.4114 Sm
0.8926 0.8933 0.5886 Sm
0.0000 0.0000 0.0000 Er
0.6764 0.6756 0.7990 Nd
0.3236 0.3244 0.2010 Nd

***

Q | GGA-PBE Nd2Sm2Er, relaxed; crystal system = orthorhombic; magnetization = 0.00 μB per atom; volume = 34.1 Å³ per atom; space group = Imma (74)
1.0
5.8026 0.0000 0.0000
0.0000 3.6350 0.0000
-2.9013 -1.8175 16.1651
Sm Nd Er
4 4 2
Direct
0.6321 0.8821 0.2642 Sm
0.2706 0.0206 0.5413 Sm
0.3679 0.1179 0.7358 Sm
0.7294 0.9794 0.4587 Sm
0.9411 0.1911 0.8821 Nd
0.5436 0.2936 0.0872 Nd
0.4564 0.7064 0.9128 Nd
0.0589 0.8089 0.1179 Nd
0.8271 0.5771 0.6542 Er
0.1729 0.4229 0.3458 Er

***

Short version: P is the least stable of them.

***

P | GGA-PBE NdSm2Er7, relaxed; crystal system = orthorhombic; magnetization = 0.00 μB per atom; volume = 38.4 Å³ per atom; space group = Cmmm (65)
1.0
-2.6450 -0.9308 4.3126
-0.0880 -9.4556 -2.0949
6.6585 4.8183 5.1238
Er Sm Nd
7 2 1
Direct
0.0000 0.8030 0.1970 Er
0.5000 0.7115 0.9287 Er
0.5000 0.9287 0.7115 Er
0.0000 0.1970 0.8030 Er
0.5000 0.2885 0.0713 Er
0.5000 0.5000 0.5000 Er
0.5000 0.0713 0.2885 Er
0.5000 0.7011 0.2989 Sm
0.5000 0.2989 0.7011 Sm
0.0000 0.0000 0.0000 Nd

***

Q | GGA-PBE NdSm2Er7, relaxed; crystal system = orthorhombic; magnetization = 0.00 μB per atom; volume = 34.6 Å³ per atom; space group = Immm (71)
1.0
3.5685 -0.4674 -0.3235
-0.8800 9.6356 -3.4042
-0.8799 0.2060 10.2171
Sm Er Nd
2 7 1
Direct
0.5000 0.8239 0.1761 Sm
0.5000 0.1761 0.8239 Sm
0.7461 0.9016 0.5914 Er
0.2539 0.4086 0.0984 Er
0.0000 0.3363 0.6637 Er
0.2539 0.0984 0.4086 Er
0.5000 0.5000 0.5000 Er
0.7461 0.5914 0.9016 Er
0.0000 0.6637 0.3363 Er
0.0000 0.0000 0.0000 Nd

***

Short version: P is the least stable of them.

***

P | GGA-PBE Nd3Sm4Er2, relaxed; crystal system = trigonal; magnetization = 0.00 μB per atom; volume = 34.0 Å³ per atom; space group = P3m1 (156)
1.0
-0.2840 1.6687 3.2040
-2.1489 -2.8131 -0.7745
18.2680 -16.8110 10.3749
Er Sm Nd
2 4 3
Direct
0.6667 0.3333 0.8727 Er
0.6667 0.3333 0.0878 Er
0.0000 0.0000 0.5430 Sm
0.6667 0.3333 0.4346 Sm
0.0000 0.0000 0.7677 Sm
0.6667 0.3333 0.2130 Sm
0.0000 0.0000 0.9826 Nd
0.0000 0.0000 0.3205 Nd
0.6667 0.3333 0.6552 Nd

***

Q | GGA-PBE Nd3Sm4Er2, relaxed; crystal system = triclinic; magnetization = 0.00 μB per atom; volume = 33.5 Å³ per atom; space group = P-1 (2)
1.0
6.2066 -0.3191 -0.7348
-3.3096 4.2891 -3.1527
-1.6951 -0.9655 12.8996
Sm Nd Er
4 3 2
Direct
0.1106 0.2214 0.3339 Sm
0.3348 0.6689 0.0001 Sm
0.6652 0.3311 0.9999 Sm
0.8894 0.7786 0.6661 Sm
0.4465 0.8909 0.3346 Nd
0.5535 0.1091 0.6654 Nd
0.0000 0.0000 0.0000 Nd
0.2203 0.4416 0.6653 Er
0.7797 0.5584 0.3347 Er

***

Short version: P is the least stable of them.

***

P | GGA-PBE Nd3Sm2Er8, relaxed; crystal system = monoclinic; magnetization = 0.00 μB per atom; volume = 33.9 Å³ per atom; space group = C2/m (12)
1.0
-6.6786 -1.7209 -0.8309
-5.9655 1.1045 7.2881
-6.5600 6.8453 0.1771
Er Sm Nd
8 2 3
Direct
0.5638 0.5618 0.2006 Er
0.0725 0.5810 0.5810 Er
0.9275 0.4190 0.4190 Er
0.4362 0.4382 0.7994 Er
0.5638 0.2006 0.5618 Er
0.4362 0.7994 0.4382 Er
0.0110 0.1930 0.1930 Er
0.9890 0.8070 0.8070 Er
0.5168 0.7805 0.7805 Sm
0.4832 0.2195 0.2195 Sm
0.0000 0.1775 0.8225 Nd
0.5000 0.0000 0.0000 Nd
0.0000 0.8225 0.1775 Nd

***

Q | GGA-PBE Nd3Sm2Er8, relaxed; crystal system = monoclinic; magnetization = 0.00 μB per atom; volume = 33.2 Å³ per atom; space group = P2/m (10)
1.0
-2.4693 2.4386 3.9252
-6.2354 -5.1405 -0.7289
8.5524 -2.8545 7.1535
Er Sm Nd
8 2 3
Direct
0.5000 0.3155 0.8535 Er
0.5000 0.5683 0.6799 Er
0.5000 0.6845 0.1465 Er
0.0000 0.7664 0.3818 Er
0.0000 0.2336 0.6182 Er
0.5000 0.4317 0.3201 Er
0.0000 0.0735 0.2322 Er
0.0000 0.9265 0.7678 Er
0.5000 0.9231 0.5977 Sm
0.5000 0.0769 0.4023 Sm
0.5000 0.0000 0.0000 Nd
0.0000 0.3445 0.0705 Nd
0.0000 0.6555 0.9295 Nd

***

Short version: P is the least stable of them.

***

P | GGA-PBE NdSmErTl, relaxed; crystal system = cubic; magnetization = 0.29 μB per atom; volume = 30.3 Å³ per atom; space group = F-43m (216)
1.0
5.5543 0.0000 0.0000
2.7772 4.8102 0.0000
2.7772 1.6034 4.5351
Nd Sm Tl Er
1 1 1 1
Direct
0.0000 0.0000 0.0000 Nd
0.5000 0.5000 0.5000 Sm
0.2500 0.2500 0.2500 Tl
0.7500 0.7500 0.7500 Er

***

Q | GGA-PBE NdSmErTl, relaxed; crystal system = orthorhombic; magnetization = 0.00 μB per atom; volume = 29.7 Å³ per atom; space group = Pmmm (47)
1.0
-0.0772 -1.9637 4.5920
4.7746 0.8407 0.4398
-0.9501 4.4165 1.8726
Nd Er Tl Sm
1 1 1 1
Direct
0.5000 0.0000 0.5000 Nd
0.0000 0.5000 0.5000 Er
0.0000 0.0000 0.0000 Tl
0.5000 0.5000 0.0000 Sm

***

Short version: P is the least stable of them.

***

P | GGA-PBE NdSmErTm, relaxed; crystal system = cubic; magnetization = 0.00 μB per atom; volume = 32.7 Å³ per atom; space group = F-43m (216)
1.0
5.6961 0.0000 0.0000
2.8480 4.9329 0.0000
2.8480 1.6443 4.6508
Er Sm Nd Tm
1 1 1 1
Direct
0.5000 0.5000 0.5000 Er
0.7500 0.7500 0.7500 Sm
0.2500 0.2500 0.2500 Nd
0.0000 0.0000 0.0000 Tm

***

Q | GGA-PBE NdSmErTm, relaxed; crystal system = trigonal; magnetization = 0.00 μB per atom; volume = 32.4 Å³ per atom; space group = R3m (160)
1.0
-3.0391 0.6398 1.8073
0.7831 -3.3391 -1.0729
7.3009 -1.2243 9.1391
Nd Tm Er Sm
1 1 1 1
Direct
0.9700 0.3833 0.3683 Nd
0.1346 0.9656 0.1145 Tm
0.4711 0.1332 0.6197 Er
0.3022 0.5488 0.8672 Sm

***

Short version: P is the least stable of them.

***

P | GGA-PBE NdErSn, relaxed; crystal system = orthorhombic; magnetization = 0.28 μB per atom; volume = 30.3 Å³ per atom; space group = Pnma (62)
1.0
-0.0524 -1.1365 4.3820
-5.6116 -5.8103 -1.5741
7.1483 -6.4722 -1.5933
Sn Er Nd
4 4 4
Direct
0.7500 0.7557 0.6340 Sn
0.2500 0.7443 0.1340 Sn
0.2500 0.2443 0.3660 Sn
0.7500 0.2557 0.8660 Sn
0.2500 0.3668 0.0676 Er
0.7500 0.6332 0.9324 Er
0.7500 0.1332 0.5676 Er
0.2500 0.8668 0.4324 Er
0.2500 0.4620 0.6667 Nd
0.2500 0.9620 0.8333 Nd
0.7500 0.5380 0.3333 Nd
0.7500 0.0380 0.1667 Nd

***

Q | GGA-PBE NdErSn, relaxed; crystal system = trigonal; magnetization = 0.00 μB per atom; volume = 30.1 Å³ per atom; space group = P3m1 (156)
1.0
-2.2175 -1.9100 2.6165
3.1473 -4.0693 -0.3031
0.9029 3.7029 3.4683
Nd Er Sn
1 1 1
Direct
0.9724 0.0000 0.0000 Nd
0.4238 0.3333 0.6667 Er
0.6037 0.6667 0.3333 Sn

***

Short version: Q is the least stable of them.

***

P | GGA-PBE NdErSn, relaxed; crystal system = tetragonal; magnetization = 0.00 μB per atom; volume = 32.8 Å³ per atom; space group = I4mm (107)
1.0
-2.5688 1.5919 1.4626
-2.1035 -2.3646 -1.1209
3.6326 -4.2259 7.1258
Nd Er Sn
1 1 1
Direct
0.9551 0.9551 0.9103 Nd
0.7592 0.7592 0.5184 Er
0.1357 0.1357 0.2713 Sn

***

Q | GGA-PBE NdErSn, relaxed; crystal system = tetragonal; magnetization = 0.12 μB per atom; volume = 30.4 Å³ per atom; space group = I4/mmm (139)
1.0
-4.2585 1.4974 -1.0434
-1.6845 -4.2443 0.7834
1.6839 3.3880 8.2763
Sn Nd Er
2 2 2
Direct
0.1321 0.1321 0.2642 Sn
0.8679 0.8679 0.7358 Sn
0.6759 0.6759 0.3519 Nd
0.3241 0.3241 0.6481 Nd
0.0000 0.5000 0.0000 Er
0.5000 0.0000 0.0000 Er

***

Short version: P is the least stable of them.

***

P | GGA-PBE Nd2Er3Sn4, relaxed; crystal system = orthorhombic; magnetization = 0.00 μB per atom; volume = 29.6 Å³ per atom; space group = Cmce (64)
1.0
-4.5508 -1.1740 5.1713
0.7820 -8.7788 -1.3048
8.7178 0.3270 3.0247
Sn Er Nd
8 6 4
Direct
0.8137 0.0546 0.6274 Sn
0.7818 0.2500 0.0636 Sn
0.7182 0.7500 0.9364 Sn
0.1863 0.9454 0.3726 Sn
0.6863 0.5546 0.3726 Sn
0.2182 0.7500 0.9364 Sn
0.2818 0.2500 0.0636 Sn
0.3137 0.4454 0.6274 Sn
0.9572 0.2500 0.4144 Er
0.4572 0.2500 0.4144 Er
0.0000 0.0000 0.0000 Er
0.5000 0.5000 0.0000 Er
0.5428 0.7500 0.5856 Er
0.0428 0.7500 0.5856 Er
0.8890 0.4112 0.7780 Nd
0.1110 0.5888 0.2220 Nd
0.6110 0.9112 0.2220 Nd
0.3890 0.0888 0.7780 Nd

***

Q | GGA-PBE Nd2Er3Sn4, relaxed; crystal system = monoclinic; magnetization = 0.00 μB per atom; volume = 28.7 Å³ per atom; space group = P2_1/c (14)
1.0
8.0153 -0.1443 0.0000
-2.7708 7.8259 0.0000
0.0000 0.0000 8.2956
Nd Er Sn
4 6 8
Direct
0.4380 0.8075 0.6776 Nd
0.9380 0.8075 0.8224 Nd
0.5620 0.1925 0.3224 Nd
0.0620 0.1925 0.1776 Nd
0.2587 0.7527 0.1671 Er
0.5000 0.5000 0.0000 Er
0.0000 0.5000 0.5000 Er
0.7587 0.7527 0.3329 Er
0.7413 0.2473 0.8329 Er
0.2413 0.2473 0.6671 Er
0.1370 0.5103 0.8650 Sn
0.8415 0.0829 0.5400 Sn
0.6370 0.5103 0.6350 Sn
0.3415 0.0829 0.9600 Sn
0.3630 0.4897 0.3650 Sn
0.8630 0.4897 0.1350 Sn
0.6585 0.9171 0.0400 Sn
0.1585 0.9171 0.4600 Sn

***

Short version: P is the least stable of them.

***

P | GGA-PBE Nd2ErSn2, relaxed; crystal system = tetragonal; magnetization = 0.00 μB per atom; volume = 30.2 Å³ per atom; space group = P4/mbm (127)
1.0
4.5723 0.0000 0.0000
0.0000 8.1207 0.0000
0.0000 0.0000 8.1207
Nd Er Sn
4 2 4
Direct
0.5000 0.1714 0.6714 Nd
0.5000 0.3286 0.1714 Nd
0.5000 0.8286 0.3286 Nd
0.5000 0.6714 0.8286 Nd
0.0000 0.5000 0.5000 Er
0.0000 0.0000 0.0000 Er
0.0000 0.6310 0.1310 Sn
0.0000 0.8690 0.6310 Sn
0.0000 0.3690 0.8690 Sn
0.0000 0.1310 0.3690 Sn

***

Q | GGA-PBE Nd2ErSn2, relaxed; crystal system = monoclinic; magnetization = 0.00 μB per atom; volume = 30.7 Å³ per atom; space group = C2/m (12)
1.0
-2.0670 -3.4986 -2.5237
3.6466 -5.7392 0.4361
-5.3516 -5.2920 7.1862
Sn Er Nd
4 2 4
Direct
0.0340 0.8210 0.1109 Sn
0.1298 0.3146 0.4258 Sn
0.9660 0.1790 0.8891 Sn
0.8702 0.6854 0.5742 Sn
0.2142 0.9281 0.6436 Er
0.7858 0.0719 0.3564 Er
0.4884 0.3435 0.6798 Nd
0.3174 0.2729 0.0923 Nd
0.6826 0.7271 0.9077 Nd
0.5116 0.6565 0.3202 Nd

***

Short version: Q is the least stable of them.

***

P | GGA-PBE SrNdEr, relaxed; crystal system = tetragonal; magnetization = 0.00 μB per atom; volume = 38.2 Å³ per atom; space group = I4mm (107)
1.0
3.7678 0.0000 0.0000
0.0000 3.7678 0.0000
-1.8839 -1.8839 8.0759
Sr Er Nd
1 1 1
Direct
0.9984 0.9984 0.9967 Sr
0.3208 0.3208 0.6416 Er
0.6809 0.6809 0.3617 Nd

***

Q | GGA-PBE SrNdEr, relaxed; crystal system = trigonal; magnetization = 0.00 μB per atom; volume = 38.0 Å³ per atom; space group = P3m1 (156)
1.0
-2.6362 -1.6657 -2.0945
-0.4945 0.3576 3.7065
-4.1463 8.2595 -1.3501
Er Nd Sr
1 1 1
Direct
0.3333 0.6667 0.6493 Er
0.6667 0.3333 0.3561 Nd
0.0000 0.0000 0.9946 Sr

***

Short version: Q is the least stable of them.